The following is a DFT calculation (PBE with a Hubbard U) of an optimized crystal structure of Cs2WAuF6.

Properties
E, eV per atom: -4.59
Symmetry: I4/mmm (139)

a b c (Å): 6.567 6.567 6.567
angles (deg): 114.74 114.74 99.38
Atoms (fractional coordinates):
Cs: 0.250 0.750 0.500
Cs: 0.750 0.250 0.500
W: 0.000 0.000 0.000
Au: 0.500 0.500 0.000
F: 0.210 0.210 0.420
F: 0.210 0.790 0.000
F: 0.253 0.253 0.000
F: 0.747 0.747 0.000
F: 0.790 0.210 0.000
F: 0.790 0.790 0.580